(1)
The following is a DFT calculation (PBE-GGA) of an optimized crystal structure of K2LiZnGa.

a b c (Å): 6.3283 4.8656 6.3283
angles (deg): 90.00 90.00 90.00
With the nearest neighbours (Å) after each atom.
Sites, in units of the cell vectors:
Ga 0.5000 0.5000 0.5000  8 K 3.99
K 0.5000 0.0000 0.0000  2 Li 3.16
K 0.0000 0.0000 0.5000  2 Li 3.16
Li 0.0000 0.0000 0.0000  2 Zn 2.43
Zn 0.0000 0.5000 0.0000  2 Li 2.43

Summary:
- DFT formation energy: 0.399 eV per atom
- Total DFT energy (no corrections): -6.41 eV/cell

(2)
The following is a DFT calculation (PBE-GGA) of an optimized crystal structure of K2MgGa.

a b c (Å): 12.7548 12.7548 9.3866
angles (deg): 47.20 47.20 90.00
With the nearest neighbours (Å) after each atom.
Sites, in units of the cell vectors:
Ga 0.0000 0.0000 0.0000  2 Mg 2.60
Ga 0.7500 0.2500 0.5000  2 Mg 2.60
Mg 0.2500 0.7500 0.5000  2 Ga 2.60
Mg 0.5000 0.5000 0.0000  2 Ga 2.60
K 0.9571 0.6250 0.2500  2 Ga 3.42
K 0.8750 0.0429 0.7500  2 Ga 3.42
K 0.7929 0.1250 0.2500  2 Ga 3.42
K 0.3750 0.2071 0.7500  2 Ga 3.42

Summary:
- DFT formation energy: 0.184 eV per atom
- Total DFT energy (no corrections): -12.16 eV/cell

(3)
The following is a DFT calculation (PBE-GGA) of an optimized crystal structure of KMg6Ga.

a b c (Å): 6.5228 6.5228 5.0505
angles (deg): 90.00 90.00 107.69
With the nearest neighbours (Å) after each atom.
Sites, in units of the cell vectors:
Mg 0.1340 0.8660 0.5000  10 Mg 3.18-3.44
Mg 0.3179 0.6821 0.0000  10 Mg 3.10-3.36
Mg 0.2021 0.3934 0.5000  1 Ga 3.08, 7 Mg 3.10-3.33, 2 K 3.42
Mg 0.6066 0.7979 0.5000  1 Ga 3.08, 7 Mg 3.10-3.33, 2 K 3.42
Mg 0.4019 0.1981 0.0000  2 Ga 3.01, 5 Mg 3.08-3.36, 2 K 3.29-3.30
Mg 0.8019 0.5981 0.0000  2 Ga 3.01, 5 Mg 3.08-3.36, 2 K 3.29-3.30
Ga 0.6564 0.3436 0.5000  6 Mg 3.01-3.08
K 0.8793 0.1207 0.0000  10 Mg 3.29-3.68, 2 Ga 3.45

Summary:
- Relative energy among the computed polymorphs: 0 meV per atom
- DFT formation energy: 0.115 eV per atom
- Total DFT energy (no corrections): -12.78 eV/cell

(4)
The following is a DFT calculation (PBE-GGA) of an optimized crystal structure of KMg2Ga6.

a b c (Å): 4.2679 7.5315 7.5794
angles (deg): 119.79 106.79 90.00
With the nearest neighbours (Å) after each atom.
Sites, in units of the cell vectors:
Ga 0.3098 0.0048 0.6174  3 Ga 2.58-2.71, 1 Mg 2.74
Ga 0.5000 0.3315 0.0000  3 Ga 2.54-2.58
Ga 0.5000 0.6685 0.0000  3 Ga 2.54-2.58
Ga 0.6902 0.9952 0.3826  3 Ga 2.58-2.71, 1 Mg 2.74
Ga 0.6902 0.3875 0.3826  3 Ga 2.58-2.71, 1 Mg 2.74
Ga 0.3098 0.6125 0.6174  3 Ga 2.58-2.71, 1 Mg 2.74
Mg 0.8728 0.3774 0.7548  6 Ga 2.74-2.92, 1 Mg 3.04
Mg 0.1272 0.6226 0.2452  6 Ga 2.74-2.92, 1 Mg 3.04
K 0.0000 0.0000 0.0000  12 Ga 3.28-3.53

Summary:
- DFT formation energy: -0.106 eV per atom
- Total DFT energy (no corrections): -23.40 eV/cell

(5)
The following is a DFT calculation (PBE-GGA) of an optimized crystal structure of KMgGa2.

a b c (Å): 5.2048 5.2048 10.3205
angles (deg): 75.39 75.39 90.00
With the nearest neighbours (Å) after each atom.
Sites, in units of the cell vectors:
Ga 0.3750 0.6011 0.7500  2 Ga 2.61, 2 Mg 2.74
Ga 0.8750 0.6489 0.7500  2 Ga 2.61, 2 Mg 2.74
Ga 0.3511 0.6250 0.2500  2 Ga 2.61, 2 Mg 2.74
Ga 0.3989 0.1250 0.2500  2 Ga 2.61, 2 Mg 2.74
Mg 0.5000 0.5000 0.0000  4 Ga 2.74
Mg 0.2500 0.7500 0.5000  4 Ga 2.74
K 0.7500 0.2500 0.5000  4 Mg 3.68, 8 Ga 3.69-3.87
K 0.0000 0.0000 0.0000  4 Mg 3.68, 8 Ga 3.69-3.87

Summary:
- DFT formation energy: 0.122 eV per atom
- Total DFT energy (no corrections): -16.51 eV/cell

(6)
The following is a DFT calculation (PBE-GGA) of an optimized crystal structure of KMg2Ga.

a b c (Å): 6.1048 6.1048 9.6045
angles (deg): 71.47 71.47 90.00
With the nearest neighbours (Å) after each atom.
Sites, in units of the cell vectors:
Mg 0.8748 0.6250 0.2500  2 Ga 2.63
Mg 0.8750 0.1252 0.7500  2 Ga 2.63
Mg 0.3750 0.1248 0.7500  2 Ga 2.63
Mg 0.8752 0.1250 0.2500  2 Ga 2.63
K 0.5000 0.5000 0.0000  8 Mg 4.03, 4 Ga 4.32
K 0.2500 0.7500 0.5000  8 Mg 4.03, 4 Ga 4.32
Ga 0.0000 0.0000 0.0000  4 Mg 2.63
Ga 0.7500 0.2500 0.5000  4 Mg 2.63

Summary:
- DFT formation energy: 0.229 eV per atom
- Total DFT energy (no corrections): -12.80 eV/cell

(7)
The following is a DFT calculation (PBE-GGA) of an optimized crystal structure of KMg5Ga3.

a b c (Å): 4.4793 7.5339 14.2175
angles (deg): 90.00 90.00 107.29
With the nearest neighbours (Å) after each atom.
Sites, in units of the cell vectors:
Mg 0.5586 0.1172 0.8538  4 Ga 2.83-2.84, 3 Mg 2.95-3.17
Mg 0.8031 0.6063 0.4361  4 Ga 2.77-3.00, 1 Mg 2.97
Mg 0.8031 0.6063 0.0639  4 Ga 2.77-3.00, 1 Mg 2.97
Mg 0.5586 0.1172 0.6462  4 Ga 2.83-2.84, 3 Mg 2.95-3.17
Mg 0.1969 0.3937 0.9361  4 Ga 2.77-3.00, 1 Mg 2.97
Mg 0.0000 0.0000 0.5000  4 Ga 2.83, 6 Mg 2.97-3.17
Mg 0.1969 0.3937 0.5639  4 Ga 2.77-3.00, 1 Mg 2.97
Mg 0.4414 0.8828 0.3538  4 Ga 2.83-2.84, 3 Mg 2.95-3.17
Mg 0.4414 0.8828 0.1462  4 Ga 2.83-2.84, 3 Mg 2.95-3.17
Mg 0.0000 0.0000 0.0000  4 Ga 2.83, 6 Mg 2.97-3.17
Ga 0.6117 0.2234 0.0463  7 Mg 2.77-3.00
Ga 0.6117 0.2234 0.4537  7 Mg 2.77-3.00
Ga 0.3883 0.7766 0.5463  7 Mg 2.77-3.00
Ga 0.1228 0.2457 0.7500  6 Mg 2.84-2.85
Ga 0.3883 0.7766 0.9537  7 Mg 2.77-3.00
Ga 0.8772 0.7543 0.2500  6 Mg 2.84-2.85
K 0.1600 0.3201 0.2500  7 Ga 3.73-4.07, 8 Mg 4.03-4.13
K 0.8400 0.6799 0.7500  7 Ga 3.73-4.07, 8 Mg 4.03-4.13

Summary:
- DFT formation energy: -0.064 eV per atom
- Total DFT energy (no corrections): -37.46 eV/cell

(8)
The following is a DFT calculation (PBE-GGA) of an optimized crystal structure of KMg6Ga4.

a b c (Å): 4.4667 8.0424 8.0424
angles (deg): 120.00 90.00 90.00
With the nearest neighbours (Å) after each atom.
Sites, in units of the cell vectors:
Ga 0.5000 0.7870 0.5740  6 Mg 2.86-2.91, 2 Ga 2.90
Ga 0.5000 0.7870 0.2130  6 Mg 2.86-2.91, 2 Ga 2.90
Ga 0.0000 0.3333 0.6667  9 Mg 2.75-2.87
Ga 0.5000 0.4260 0.2130  6 Mg 2.86-2.91, 2 Ga 2.90
Mg 0.5000 0.2042 0.4083  4 Ga 2.87-2.91, 2 Mg 3.12
Mg 0.0000 0.5309 0.4691  5 Ga 2.75-2.86
Mg 0.0000 0.5309 0.0618  5 Ga 2.75-2.86
Mg 0.5000 0.5917 0.7958  4 Ga 2.87-2.91, 2 Mg 3.12
Mg 0.5000 0.2042 0.7958  4 Ga 2.87-2.91, 2 Mg 3.12
Mg 0.0000 0.9382 0.4691  5 Ga 2.75-2.86
K 0.0000 0.0000 0.0000  12 Mg 3.62-4.04, 6 Ga 3.71

Summary:
- DFT formation energy: -0.127 eV per atom
- Total DFT energy (no corrections): -24.17 eV/cell

(9)
The following is a DFT calculation (PBE-GGA) of an optimized crystal structure of KMgGa.

a b c (Å): 5.0580 5.3834 7.1688
angles (deg): 98.49 90.01 89.96
With the nearest neighbours (Å) after each atom.
Sites, in units of the cell vectors:
Mg 0.3117 0.7316 0.5732  4 Ga 2.75-2.90, 2 Mg 3.04
Mg 0.8121 0.4253 0.5990  4 Ga 2.75-2.90, 2 Mg 3.04
K 0.8124 0.8524 0.1975  4 Ga 3.55-3.65, 4 Mg 3.82-3.94
K 0.3121 0.3069 0.9761  4 Ga 3.56-3.65, 4 Mg 3.82-3.94
Ga 0.3124 0.2028 0.4681  4 Mg 2.75-2.90
Ga 0.8114 0.9544 0.7059  4 Mg 2.75-2.90

Summary:
- Relative energy among the computed polymorphs: 54 meV per atom
- DFT formation energy: -0.011 eV per atom
- Total DFT energy (no corrections): -11.50 eV/cell

(10)
The following is a DFT calculation (PBE-GGA) of an optimized crystal structure of KMgGa.

a b c (Å): 4.7588 4.7588 8.8901
angles (deg): 105.52 105.52 90.00
With the nearest neighbours (Å) after each atom.
Sites, in units of the cell vectors:
Mg 0.5000 0.0000 0.0000  4 Ga 2.84
Mg 0.0000 0.5000 0.0000  4 Ga 2.84
Ga 0.9060 0.9060 0.8120  4 Mg 2.84, 1 Ga 3.09
Ga 0.0940 0.0940 0.1880  4 Mg 2.84, 1 Ga 3.09
K 0.6800 0.6800 0.3601  5 Ga 3.65-3.72, 4 Mg 3.80, 4 K 4.08
K 0.3200 0.3200 0.6399  5 Ga 3.65-3.72, 4 Mg 3.80, 4 K 4.08

Summary:
- Relative energy among the computed polymorphs: 0 meV per atom
- DFT formation energy: -0.065 eV per atom
- Total DFT energy (no corrections): -11.83 eV/cell

(11)
The following is a DFT calculation (PBE-GGA) of an optimized crystal structure of K2MgGa.

a b c (Å): 6.0107 6.0107 6.0107
angles (deg): 60.00 60.00 60.00
With the nearest neighbours (Å) after each atom.
Sites, in units of the cell vectors:
K 0.2500 0.2500 0.2500  4 Mg 3.68, 4 Ga 3.68
K 0.7500 0.7500 0.7500  4 Mg 3.68, 4 Ga 3.68
Ga 0.5000 0.5000 0.5000  8 K 3.68
Mg 0.0000 0.0000 0.0000  8 K 3.68

Summary:
- DFT formation energy: 0.284 eV per atom
- Total DFT energy (no corrections): -5.68 eV/cell

(12)
The following is a DFT calculation (PBE-GGA) of an optimized crystal structure of K5MgGa6.

a b c (Å): 10.2597 6.9097 6.8770
angles (deg): 59.84 83.93 77.86
With the nearest neighbours (Å) after each atom.
Sites, in units of the cell vectors:
K 0.0000 0.3343 0.3314  6 Ga 3.58-3.64, 3 K 3.94-3.99, 3 Mg 3.98
K 0.5000 0.8118 0.3764  4 Ga 3.38-3.46, 3 K 3.71-3.75
K 0.5000 0.5000 0.0000  4 Ga 3.40, 2 K 3.71
K 0.0000 0.6657 0.6686  6 Ga 3.58-3.64, 3 K 3.94-3.99, 3 Mg 3.98
K 0.5000 0.1882 0.6236  4 Ga 3.38-3.46, 3 K 3.71-3.75
Mg 0.0000 0.0000 0.0000  6 Ga 2.83-2.92
Ga 0.7665 0.3049 0.7674  2 Ga 2.77-2.78, 1 Mg 2.83
Ga 0.7573 0.8431 0.0000  2 Ga 2.78, 1 Mg 2.92
Ga 0.2335 0.6951 0.2326  2 Ga 2.77-2.78, 1 Mg 2.83
Ga 0.2335 0.9276 0.7674  2 Ga 2.77-2.78, 1 Mg 2.83
Ga 0.7665 0.0724 0.2326  2 Ga 2.77-2.78, 1 Mg 2.83
Ga 0.2427 0.1569 0.0000  2 Ga 2.78, 1 Mg 2.92

Summary:
- DFT formation energy: 0.151 eV per atom
- Total DFT energy (no corrections): -23.44 eV/cell